The following is a PBE-GGA calculation of LaPu4As5 after structural relaxation, from Alexandria.

Space group: C2/m
Magnetization (μB per cell): 19.95
DFT formation energy (meV/atom): -1116
Density of states at the Fermi level (states/eV/f.u.): 39.7

Cell lengths 4.190, 7.241, 9.355 Å; angles 75.01, 77.06, 73.18 degrees
Site moments in Bohr magnetons follow the coordinates.
Fractional coordinates of all 10 atoms:
1 Pu 0.597 0.204 0.602  5.01
2 As 0.000 0.500 0.500  -0.16
3 As 0.203 0.903 0.691  -0.15
4 La 0.000 0.000 0.000  0.00
5 Pu 0.403 0.796 0.398  5.01
6 As 0.392 0.319 0.896  -0.13
7 As 0.608 0.681 0.104  -0.13
8 As 0.797 0.097 0.309  -0.15
9 Pu 0.798 0.608 0.795  5.00
10 Pu 0.202 0.392 0.205  5.00